! TbNd6 | Alexandria via LeMat-Bulk | PBE-GGA | optimized geometry; values from VASP
! Space-group type: P4/nbm (125)
! Total magnetic moment, μB/cell: 0.00
! Relative energy among the computed polymorphs, meV/atom: 0
! D(E_F), states/eV per atom: 1.23
! E_form, eV/atom: 0.236
&SYSTEM
  ibrav = 0, nat = 14, ntyp = 2
/
ATOMIC_SPECIES
Tb 158.93 Tb.upf
Nd 144.24 Nd.upf
ATOMIC_POSITIONS crystal
Tb 0.2500 0.7500 0.0000
Tb 0.7500 0.2500 0.0000
Nd 0.0818 0.5818 0.3606
Nd 0.0818 0.9182 0.6394
Nd 0.2500 0.2500 0.1372
Nd 0.2500 0.2500 0.8628
Nd 0.4182 0.5818 0.6394
Nd 0.4182 0.9182 0.3606
Nd 0.5818 0.0818 0.6394
Nd 0.5818 0.4182 0.3606
Nd 0.7500 0.7500 0.1372
Nd 0.7500 0.7500 0.8628
Nd 0.9182 0.0818 0.3606
Nd 0.9182 0.4182 0.6394
CELL_PARAMETERS angstrom
6.6416 0.0000 0.0000
0.0000 6.6416 0.0000
0.0000 0.0000 11.3587